(1)
First-principles (PBE+U) data for TbHo2MoO8 after structural relaxation, as listed in Alexandria.

Calculated values
Raw total energy (eV/atom): -7.730
Space group: No. 65
DOS at the Fermi energy (states/eV/cell): 7.05
Magnetization (μB/atom): 0.068

a b c (Å): 5.040 5.040 6.801
angles (deg): 90.00 90.00 90.64
Last column: magnetic moment on the atom in μB.
Atoms (fractional coordinates):
O 0.184 0.816 0.211  0.07
O 0.184 0.816 0.789  0.07
O 0.816 0.184 0.789  0.07
O 0.816 0.184 0.211  0.07
O 0.310 0.309 0.500  0.10
O 0.724 0.724 0.000  0.14
O 0.690 0.691 0.500  0.10
O 0.276 0.276 0.000  0.14
Ho 0.500 0.500 0.752  -0.01
Ho 0.500 0.500 0.248  -0.01
Mo 0.000 0.000 0.000  -0.09
Tb 0.000 0.000 0.500  0.01

(2)
First-principles (PBE+U) data for TbHo2MoO6 after structural relaxation, as listed in Alexandria.

Calculated values
Raw total energy (eV/atom): -8.120
Space group: No. 146
DOS at the Fermi energy (states/eV/cell): 0.00
Magnetization (μB/atom): 0.300

a b c (Å): 5.721 5.720 6.018
angles (deg): 61.62 61.58 60.01
Last column: magnetic moment on the atom in μB.
Atoms (fractional coordinates):
O 0.416 0.701 0.760  0.01
O 0.701 0.123 0.760  0.01
O 0.929 0.610 0.253  0.02
O 0.123 0.416 0.760  0.01
O 0.209 0.929 0.253  0.02
O 0.609 0.209 0.253  0.02
Tb 0.807 0.807 0.579  0.03
Ho 0.528 0.528 0.416  0.03
Ho 0.021 0.022 0.935  0.00
Mo 0.318 0.318 0.046  2.70